The following is a DFT calculation (GGA-PBE) of crystalline CeIn2Pd6 at its relaxed geometry.

abc: 3.888 7.320 7.320
angles: 125.22 90.00 90.00
Positions (direct):
Ce1 0.000 0.000 0.000
In1 0.500 0.215 0.510
In2 0.500 0.510 0.215
Pd1 0.000 0.411 0.411
Pd2 0.000 0.457 0.859
Pd3 0.000 0.859 0.457
Pd4 0.500 0.115 0.804
Pd5 0.500 0.689 0.689
Pd6 0.500 0.804 0.115

Output
As for the crystal system: orthorhombic. Its total energy is -5.17 eV/atom. The calculation puts the formation energy at -42.4 kJ/mol of atoms. For the theoretical density, the calculation gives 9.840 g cm⁻³. The space-group type is No. 38.

***

The following is a DFT calculation (GGA-PBE) of crystalline Pm2HgPd3 at its relaxed geometry.

abc: 4.682 4.682 14.116
angles: 90.00 90.00 120.00
Positions (direct):
Pm1 0.000 0.000 0.121
Pm2 0.000 0.000 0.379
Pm3 0.000 0.000 0.621
Pm4 0.000 0.000 0.879
Hg1 0.333 0.667 0.250
Hg2 0.667 0.333 0.750
Pd1 0.333 0.667 0.514
Pd2 0.333 0.667 0.750
Pd3 0.333 0.667 0.986
Pd4 0.667 0.333 0.014
Pd5 0.667 0.333 0.250
Pd6 0.667 0.333 0.486

Output
As for the crystal system: hexagonal. Its total energy is -4.87 eV/atom. The calculation puts the formation energy at -62.0 kJ/mol of atoms. For the energy above the most stable polymorph in this dataset, the calculation gives 0.003 eV per atom. For the theoretical density, the calculation gives 10.037 g cm⁻³. The space-group type is No. 194.